1.
Entry from the Alexandria database: Fe4WAu at its PBEsol-relaxed geometry (meta-GGA SCAN).

Computed properties:
Total energy: -35.13 eV per atom
Spin magnetization: 7.38 Bohr magnetons per cell
Crystal system: cubic
DFT formation energy: 0.10 eV per atom

Unit cell a=4.6919 b=4.6919 c=4.6919 alpha=60.00 beta=60.00 gamma=60.00
Last column: nearest neighbours and their distance in Å.
Atoms (fractional coordinates):
Fe (0.3749, 0.3749, 0.8752)  6 Fe 2.34-2.35
Fe (0.3749, 0.8752, 0.3749)  6 Fe 2.34-2.35
Fe (0.3749, 0.3749, 0.3749)  6 Fe 2.34-2.35
Fe (0.8752, 0.3749, 0.3749)  6 Fe 2.34-2.35
W (0.7500, 0.7500, 0.7500)  12 Fe 2.75, 4 Au 2.87
Au (0.0000, 0.0000, 0.0000)  12 Fe 2.75, 4 W 2.87



2.
Entry from the Alexandria database: Fe2WAu at its PBEsol-relaxed geometry (meta-GGA SCAN).

Computed properties:
Total energy: -43.52 eV per atom
Spin magnetization: 4.82 Bohr magnetons per cell
Energy relative to the lowest polymorph listed for this composition: 0.105 eV/atom
Crystal system: monoclinic
DFT formation energy: 0.26 eV per atom

Unit cell a=2.7011 b=4.5106 c=4.7943 alpha=98.71 beta=90.00 gamma=107.42
Last column: nearest neighbours and their distance in Å.
Atoms (fractional coordinates):
Au (0.0000, 0.0000, 0.5000)  6 Fe 2.67-2.69, 2 Au 2.70, 4 W 2.75
Fe (0.7501, 0.5002, 0.7668)  3 W 2.58-2.63, 4 Fe 2.61-2.70, 3 Au 2.67-2.69
Fe (0.2499, 0.4998, 0.2332)  3 W 2.58-2.63, 4 Fe 2.61-2.70, 3 Au 2.67-2.69
W (0.5000, 0.0000, 0.0000)  6 Fe 2.58-2.63, 2 W 2.70, 4 Au 2.75



3.
Entry from the Alexandria database: YFe3Au at its PBEsol-relaxed geometry (meta-GGA SCAN).

Computed properties:
Total energy: -29.74 eV per atom
Spin magnetization: 8.30 Bohr magnetons per cell
Crystal system: cubic
DFT formation energy: 0.54 eV per atom

Unit cell a=4.6892 b=4.6892 c=4.6892 alpha=90.00 beta=90.00 gamma=90.00
Last column: nearest neighbours and their distance in Å.
Atoms (fractional coordinates):
Au (0.0000, 0.0000, 0.0000)  6 Fe 2.34
Fe (0.0000, 0.5000, 0.0000)  2 Au 2.34
Fe (0.0000, 0.0000, 0.5000)  2 Au 2.34
Fe (0.5000, 0.0000, 0.0000)  2 Au 2.34
Y (0.5000, 0.5000, 0.5000)  12 Fe 3.32



4.
Entry from the Alexandria database: YFe2Au at its PBEsol-relaxed geometry (meta-GGA SCAN).

Computed properties:
Total energy: -33.14 eV per atom
Spin magnetization: 4.86 Bohr magnetons per cell
Crystal system: monoclinic
DFT formation energy: 0.17 eV per atom

Unit cell a=2.9198 b=5.0557 c=5.2310 alpha=116.87 beta=103.00 gamma=96.43
Last column: nearest neighbours and their distance in Å.
Atoms (fractional coordinates):
Au (0.0000, 0.5000, 0.0000)  4 Fe 2.69, 2 Y 2.77, 2 Au 2.92
Fe (0.5000, 0.5000, 0.5000)  2 Y 2.69, 2 Au 2.69, 4 Fe 2.77-2.92
Fe (0.0000, 0.0000, 0.5000)  2 Y 2.69, 2 Au 2.69, 4 Fe 2.77-2.92
Y (0.5000, 0.0000, 0.0000)  4 Fe 2.69, 2 Au 2.77, 2 Y 2.92



5.
Entry from the Alexandria database: YFeAu2 at its PBEsol-relaxed geometry (meta-GGA SCAN).

Computed properties:
Total energy: -46.48 eV per atom
Spin magnetization: 2.63 Bohr magnetons per cell
Crystal system: tetragonal
DFT formation energy: -0.40 eV per atom

Unit cell a=3.4693 b=3.4693 c=6.0645 alpha=90.00 beta=90.00 gamma=90.00
Last column: nearest neighbours and their distance in Å.
Atoms (fractional coordinates):
Fe (0.0000, 0.0000, 0.4575)  5 Au 2.66-2.70
Au (0.5000, 0.5000, 0.2728)  4 Fe 2.70, 4 Au 2.90, 1 Y 2.90
Au (0.0000, 0.0000, 0.0184)  1 Fe 2.66, 4 Au 2.90, 4 Y 2.94
Y (0.5000, 0.5000, 0.7513)  6 Au 2.90-3.16, 4 Fe 3.03



6.
Entry from the Alexandria database: YFeAu3 at its PBEsol-relaxed geometry (meta-GGA SCAN).

Computed properties:
Total energy: -50.85 eV per atom
Spin magnetization: 2.99 Bohr magnetons per cell
Crystal system: cubic
DFT formation energy: -0.16 eV per atom

Unit cell a=4.7391 b=4.7391 c=4.7391 alpha=90.00 beta=90.00 gamma=90.00
Last column: nearest neighbours and their distance in Å.
Atoms (fractional coordinates):
Y (0.5000, 0.5000, 0.5000)  12 Au 3.35
Au (0.0000, 0.5000, 0.0000)  2 Fe 2.37
Au (0.0000, 0.0000, 0.5000)  2 Fe 2.37
Au (0.5000, 0.0000, 0.0000)  2 Fe 2.37
Fe (0.0000, 0.0000, 0.0000)  6 Au 2.37



7.
Entry from the Alexandria database: Zn2FeAu at its PBEsol-relaxed geometry (meta-GGA SCAN).

Computed properties:
Total energy: -28.63 eV per atom
Spin magnetization: 2.82 Bohr magnetons per cell
Crystal system: orthorhombic
DFT formation energy: -0.05 eV per atom

Unit cell a=2.7281 b=3.7304 c=5.4539 alpha=90.00 beta=90.00 gamma=90.00
Last column: nearest neighbours and their distance in Å.
Atoms (fractional coordinates):
Au (0.0000, 0.0000, 0.5021)  6 Zn 2.65-2.80, 4 Fe 2.73, 2 Au 2.73
Zn (0.0000, 0.0000, 0.9884)  4 Fe 2.61, 2 Au 2.65-2.80, 6 Zn 2.69-2.73
Zn (0.5000, 0.5000, 0.2417)  2 Fe 2.58-2.87, 6 Zn 2.69-2.73, 4 Au 2.71
Fe (0.5000, 0.5000, 0.7678)  6 Zn 2.58-2.87, 4 Au 2.73, 2 Fe 2.73



8.
Entry from the Alexandria database: Zr2FeAu at its PBEsol-relaxed geometry (meta-GGA SCAN).

Computed properties:
Total energy: -37.45 eV per atom
Spin magnetization: 1.38 Bohr magnetons per cell
Energy relative to the lowest polymorph listed for this composition: 0.170 eV/atom
Crystal system: tetragonal
DFT formation energy: -0.27 eV per atom

Unit cell a=3.9908 b=3.9908 c=5.1613 alpha=112.74 beta=112.74 gamma=90.00
Last column: nearest neighbours and their distance in Å.
Atoms (fractional coordinates):
Fe (0.2500, 0.7500, 0.5000)  8 Zr 2.82-2.94, 4 Au 2.94
Zr (0.0000, 0.0000, 0.0000)  4 Au 2.82, 4 Zr 2.94, 4 Fe 2.94
Zr (0.7500, 0.2500, 0.5000)  4 Fe 2.82, 4 Zr 2.94, 4 Au 2.94
Au (0.5000, 0.5000, 0.0000)  8 Zr 2.82-2.94, 4 Fe 2.94



9.
Entry from the Alexandria database: ZrFe2Au at its PBEsol-relaxed geometry (meta-GGA SCAN).

Computed properties:
Total energy: -33.79 eV per atom
Spin magnetization: 5.99 Bohr magnetons per cell
Energy relative to the lowest polymorph listed for this composition: 0.210 eV/atom
Crystal system: trigonal
DFT formation energy: 0.24 eV per atom

Unit cell a=2.8464 b=2.8464 c=9.0665 alpha=80.97 beta=80.97 gamma=60.00
Last column: nearest neighbours and their distance in Å.
Atoms (fractional coordinates):
Au (0.0000, 0.0000, 0.0000)  6 Fe 2.71, 6 Au 2.85
Fe (0.7470, 0.7470, 0.7590)  3 Au 2.71, 3 Zr 2.83, 6 Fe 2.85
Fe (0.2530, 0.2530, 0.2410)  3 Au 2.71, 3 Zr 2.83, 6 Fe 2.85
Zr (0.5000, 0.5000, 0.5000)  6 Fe 2.83, 6 Zr 2.85



10.
Entry from the Alexandria database: ZrFe2Au at its PBEsol-relaxed geometry (meta-GGA SCAN).

Computed properties:
Total energy: -34.00 eV per atom
Spin magnetization: 4.80 Bohr magnetons per cell
Energy relative to the lowest polymorph listed for this composition: 0.000 eV/atom
Crystal system: monoclinic
DFT formation energy: 0.03 eV per atom

Unit cell a=2.7883 b=4.4154 c=5.0342 alpha=90.00 beta=94.70 gamma=90.00
Last column: nearest neighbours and their distance in Å.
Atoms (fractional coordinates):
Fe (0.1880, 0.0000, 0.2259)  1 Fe 2.43, 2 Zr 2.66, 2 Au 2.68
Fe (0.8120, 0.0000, 0.7741)  1 Fe 2.43, 2 Zr 2.66, 2 Au 2.68
Zr (0.5000, 0.5000, 0.0000)  4 Fe 2.66, 4 Au 2.78-2.98, 2 Zr 2.79
Au (0.0000, 0.5000, 0.5000)  4 Fe 2.68, 4 Zr 2.78-2.98, 2 Au 2.79



11.
Entry from the Alexandria database: Zr2FeAu at its PBEsol-relaxed geometry (meta-GGA SCAN).

Computed properties:
Total energy: -37.45 eV per atom
Spin magnetization: 2.35 Bohr magnetons per cell
Energy relative to the lowest polymorph listed for this composition: 0.164 eV/atom
Crystal system: tetragonal
DFT formation energy: -0.28 eV per atom

Unit cell a=3.3620 b=3.3620 c=6.3020 alpha=90.00 beta=90.00 gamma=90.00
Last column: nearest neighbours and their distance in Å.
Atoms (fractional coordinates):
Au (0.0000, 0.0000, 0.5132)  4 Fe 2.82, 5 Zr 2.83-2.84
Zr (0.0000, 0.0000, 0.9635)  4 Fe 2.72, 1 Au 2.84
Zr (0.5000, 0.5000, 0.2684)  4 Au 2.83, 4 Zr 3.06, 1 Fe 3.07
Fe (0.5000, 0.5000, 0.7549)  4 Zr 2.72, 4 Au 2.82



12.
Entry from the Alexandria database: Zr2FeAu at its PBEsol-relaxed geometry (meta-GGA SCAN).

Computed properties:
Total energy: -37.62 eV per atom
Spin magnetization: 0.50 Bohr magnetons per cell
Energy relative to the lowest polymorph listed for this composition: 0.000 eV/atom
Crystal system: monoclinic
DFT formation energy: -0.44 eV per atom

Unit cell a=3.1009 b=3.1008 c=7.1848 alpha=90.11 beta=90.00 gamma=90.00
Last column: nearest neighbours and their distance in Å.
Atoms (fractional coordinates):
Zr (0.0000, 0.0014, 0.7812)  4 Fe 2.69-2.70, 4 Au 2.98
Zr (0.0000, 0.9986, 0.2188)  4 Fe 2.69-2.70, 4 Au 2.98
Fe (0.5000, 0.5000, 0.0000)  8 Zr 2.69-2.70
Au (0.5000, 0.5000, 0.5000)  8 Zr 2.98, 4 Au 3.10



13.
Entry from the Alexandria database: Ga2Au7 at its PBEsol-relaxed geometry (meta-GGA SCAN).

Computed properties:
Total energy: -57.52 eV per atom
Spin magnetization: 0.00 Bohr magnetons per cell
Crystal system: hexagonal
DFT formation energy: -0.10 eV per atom

Unit cell a=7.6798 b=7.6798 c=8.7891 alpha=90.00 beta=90.00 gamma=120.00
Last column: nearest neighbours and their distance in Å.
Atoms (fractional coordinates):
Au (0.0000, 0.7214, 0.5000)  2 Ga 2.71, 8 Au 2.79-2.93
Au (0.6845, 0.0000, 0.1683)  3 Ga 2.63-2.73, 4 Au 2.84-2.93
Au (0.3333, 0.6667, 0.5000)  2 Ga 2.77, 9 Au 2.79-2.88
Au (0.0000, 0.3579, 0.3306)  3 Ga 2.75-2.78, 9 Au 2.88-2.98
Au (0.6321, 0.6321, 0.0000)  9 Au 2.83-3.03, 4 Ga 2.93
Au (0.0000, 0.6845, 0.8317)  3 Ga 2.63-2.73, 4 Au 2.84-2.93
Au (0.3579, 0.0000, 0.6694)  3 Ga 2.75-2.78, 9 Au 2.88-2.98
Au (0.6845, 0.0000, 0.8317)  3 Ga 2.63-2.73, 4 Au 2.84-2.93
Au (0.3155, 0.3155, 0.1683)  3 Ga 2.63-2.73, 4 Au 2.84-2.93
Au (0.7214, 0.0000, 0.5000)  2 Ga 2.71, 8 Au 2.79-2.93
Au (0.6421, 0.6421, 0.6694)  3 Ga 2.75-2.78, 9 Au 2.88-2.98
Au (0.3579, 0.0000, 0.3306)  3 Ga 2.75-2.78, 9 Au 2.88-2.98
Au (0.3155, 0.3155, 0.8317)  3 Ga 2.63-2.73, 4 Au 2.84-2.93
Au (0.0000, 0.3579, 0.6694)  3 Ga 2.75-2.78, 9 Au 2.88-2.98
Au (0.6667, 0.3333, 0.5000)  2 Ga 2.77, 9 Au 2.79-2.88
Au (0.2786, 0.2786, 0.5000)  2 Ga 2.71, 8 Au 2.79-2.93
Au (0.6421, 0.6421, 0.3306)  3 Ga 2.75-2.78, 9 Au 2.88-2.98
Au (0.0000, 0.3679, 0.0000)  9 Au 2.83-3.03, 4 Ga 2.93
Au (0.0000, 0.6845, 0.1683)  3 Ga 2.63-2.73, 4 Au 2.84-2.93
Au (0.3679, 0.0000, 0.0000)  9 Au 2.83-3.03, 4 Ga 2.93
Au (0.0000, 0.0000, 0.0000)  2 Ga 2.73, 9 Au 2.83-2.84
Ga (0.6667, 0.3333, 0.1845)  10 Au 2.63-2.93
Ga (0.0000, 0.0000, 0.6898)  10 Au 2.71-2.75
Ga (0.3333, 0.6667, 0.1845)  10 Au 2.63-2.93
Ga (0.3333, 0.6667, 0.8155)  10 Au 2.63-2.93
Ga (0.6667, 0.3333, 0.8155)  10 Au 2.63-2.93
Ga (0.0000, 0.0000, 0.3102)  10 Au 2.71-2.75



14.
Entry from the Alexandria database: GaGeAu3 at its PBEsol-relaxed geometry (meta-GGA SCAN).

Computed properties:
Total energy: -48.34 eV per atom
Spin magnetization: 0.00 Bohr magnetons per cell
Crystal system: cubic
DFT formation energy: 0.25 eV per atom

Unit cell a=4.8314 b=4.8314 c=4.8314 alpha=90.00 beta=90.00 gamma=90.00
Last column: nearest neighbours and their distance in Å.
Atoms (fractional coordinates):
Au (0.0000, 0.0000, 0.5000)  2 Ge 2.42
Au (0.0000, 0.5000, 0.0000)  2 Ge 2.42
Au (0.5000, 0.0000, 0.0000)  2 Ge 2.42
Ga (0.5000, 0.5000, 0.5000)  12 Au 3.42
Ge (0.0000, 0.0000, 0.0000)  6 Au 2.42



15.
Entry from the Alexandria database: NbGaGeAu2 at its PBEsol-relaxed geometry (meta-GGA SCAN).

Computed properties:
Total energy: -40.62 eV per atom
Spin magnetization: 2.73 Bohr magnetons per cell
Crystal system: tetragonal
DFT formation energy: 0.75 eV per atom

Unit cell a=4.7040 b=4.6834 c=4.6834 alpha=90.00 beta=90.00 gamma=90.00
Last column: nearest neighbours and their distance in Å.
Atoms (fractional coordinates):
Ga (0.0000, 0.0000, 0.0000)  4 Au 2.34, 2 Ge 2.35
Au (0.0000, 0.5000, 0.0000)  2 Ga 2.34
Au (0.0000, 0.0000, 0.5000)  2 Ga 2.34
Ge (0.5000, 0.0000, 0.0000)  2 Ga 2.35
Nb (0.5000, 0.5000, 0.5000)  4 Ge 3.31, 8 Au 3.32



16.
Entry from the Alexandria database: Tl2GaGeAu at its PBEsol-relaxed geometry (meta-GGA SCAN).

Computed properties:
Total energy: -49.39 eV per atom
Spin magnetization: 0.00 Bohr magnetons per cell
Crystal system: tetragonal
DFT formation energy: 0.47 eV per atom

Unit cell a=4.7747 b=5.3828 c=5.3828 alpha=90.00 beta=90.00 gamma=90.00
Last column: nearest neighbours and their distance in Å.
Atoms (fractional coordinates):
Tl (0.0000, 0.5000, 0.0000)  2 Ge 2.69
Tl (0.0000, 0.0000, 0.5000)  2 Ge 2.69
Au (0.5000, 0.5000, 0.5000)  8 Tl 3.60, 4 Ga 3.81
Ge (0.0000, 0.0000, 0.0000)  2 Ga 2.39
Ga (0.5000, 0.0000, 0.0000)  2 Ge 2.39



17.
Entry from the Alexandria database: TlGaGe2Au at its PBEsol-relaxed geometry (meta-GGA SCAN).

Computed properties:
Total energy: -38.77 eV per atom
Spin magnetization: 0.00 Bohr magnetons per cell
Crystal system: tetragonal
DFT formation energy: 0.44 eV per atom

Unit cell a=4.8452 b=4.9509 c=4.9509 alpha=90.00 beta=90.00 gamma=90.00
Last column: nearest neighbours and their distance in Å.
Atoms (fractional coordinates):
Tl (0.5000, 0.5000, 0.5000)  8 Ge 3.46, 4 Au 3.50
Ge (0.0000, 0.0000, 0.5000)  2 Ga 2.48
Ge (0.0000, 0.5000, 0.0000)  2 Ga 2.48
Ga (0.0000, 0.0000, 0.0000)  2 Au 2.42, 4 Ge 2.48
Au (0.5000, 0.0000, 0.0000)  2 Ga 2.42



18.
Entry from the Alexandria database: Ga3HAu at its PBEsol-relaxed geometry (meta-GGA SCAN).

Computed properties:
Total energy: -24.06 eV per atom
Spin magnetization: 0.00 Bohr magnetons per cell
Crystal system: cubic

Unit cell a=4.1826 b=4.1826 c=4.1826 alpha=90.00 beta=90.00 gamma=90.00
Last column: nearest neighbours and their distance in Å.
Atoms (fractional coordinates):
H (0.0000, 0.0000, 0.0000)  6 Ga 2.09
Ga (0.0000, 0.0000, 0.5000)  2 H 2.09
Ga (0.5000, 0.0000, 0.0000)  2 H 2.09
Ga (0.0000, 0.5000, 0.0000)  2 H 2.09
Au (0.5000, 0.5000, 0.5000)  12 Ga 2.96



19.
Entry from the Alexandria database: GaH2Au at its PBEsol-relaxed geometry (meta-GGA SCAN).

Computed properties:
Total energy: -22.74 eV per atom
Spin magnetization: 0.00 Bohr magnetons per cell
Crystal system: tetragonal

Unit cell a=4.9159 b=5.3925 c=4.9159 alpha=62.88 beta=90.00 gamma=117.12
Last column: nearest neighbours and their distance in Å.
Atoms (fractional coordinates):
H (0.8750, 0.2500, 0.7140)  2 Au 1.79
H (0.3750, 0.2500, 0.0360)  2 Au 1.79
H (0.7140, 0.7500, 0.3750)  2 Au 1.79
H (0.0360, 0.7500, 0.8750)  2 Au 1.79
Au (0.7500, 0.5000, 0.7500)  4 H 1.79
Au (0.0000, 0.0000, 0.0000)  4 H 1.79
Ga (0.2500, 0.5000, 0.2500)  4 H 2.31
Ga (0.5000, 0.0000, 0.5000)  4 H 2.31



20.
Entry from the Alexandria database: HfGaAu3 at its PBEsol-relaxed geometry (meta-GGA SCAN).

Computed properties:
Total energy: -56.97 eV per atom
Spin magnetization: 0.00 Bohr magnetons per cell
Crystal system: cubic
DFT formation energy: 0.33 eV per atom

Unit cell a=4.6705 b=4.6705 c=4.6705 alpha=90.00 beta=90.00 gamma=90.00
Last column: nearest neighbours and their distance in Å.
Atoms (fractional coordinates):
Au (0.0000, 0.5000, 0.0000)  2 Ga 2.34
Au (0.5000, 0.0000, 0.0000)  2 Ga 2.34
Au (0.0000, 0.0000, 0.5000)  2 Ga 2.34
Ga (0.0000, 0.0000, 0.0000)  6 Au 2.34
Hf (0.5000, 0.5000, 0.5000)  12 Au 3.30